Entry 1:
The following is a PBE calculation of a relaxed structure of ScFe2Si, from OQMD.

Cell lengths 4.2641, 4.2641, 4.2641 Å; angles 60.00, 60.00, 60.00 degrees
With the nearest neighbours (Å) after each atom.
Element x y z (fractional)
Fe: 0.5000 0.5000 0.5000  4 Fe 2.61, 4 Si 2.61
Fe: 0.7500 0.7500 0.7500  4 Fe 2.61, 4 Sc 2.61
Sc: 0.0000 0.0000 0.0000  4 Fe 2.61, 4 Si 2.61
Si: 0.2500 0.2500 0.2500  4 Fe 2.61, 4 Sc 2.61

Calculated values
SG: F-43m (216)
ρ in g/cm3: 5.60
Final energy in eV/atom: -7.321



Entry 2:
The following is a PBE calculation of a relaxed structure of ScFeSi, from OQMD.

Cell lengths 4.4708, 4.4708, 5.2718 Å; angles 90.00, 90.00, 120.00 degrees
With the nearest neighbours (Å) after each atom.
Element x y z (fractional)
Fe: 0.0000 0.0000 0.0000  2 Fe 2.64, 6 Sc 2.90, 6 Si 2.90
Fe: 0.0000 0.0000 0.5000  2 Fe 2.64, 6 Si 2.90, 6 Sc 2.90
Sc: 0.6667 0.3333 0.2500  5 Si 2.58-2.64
Sc: 0.3333 0.6667 0.7500  5 Si 2.58-2.64
Si: 0.3333 0.6667 0.2500  5 Sc 2.58-2.64
Si: 0.6667 0.3333 0.7500  5 Sc 2.58-2.64

Calculated values
SG: P6_3/mmc (194)
ρ in g/cm3: 4.69
Final energy in eV/atom: -6.975



Entry 3:
The following is a PBE calculation of a relaxed structure of ScFeSi, from OQMD.

Cell lengths 6.5213, 4.0427, 6.6362 Å; angles 90.00, 90.00, 90.00 degrees
With the nearest neighbours (Å) after each atom.
Element x y z (fractional)
Fe: 0.3469 0.2500 0.0625  4 Si 2.33-2.39
Fe: 0.8469 0.2500 0.4375  4 Si 2.33-2.39
Fe: 0.1531 0.7500 0.5625  4 Si 2.33-2.39
Fe: 0.6531 0.7500 0.9375  4 Si 2.33-2.39
Sc: 0.9875 0.7500 0.1908  4 Fe 2.69-2.76, 5 Si 2.80-2.84
Sc: 0.4875 0.7500 0.3092  4 Fe 2.69-2.76, 5 Si 2.80-2.84
Sc: 0.5125 0.2500 0.6908  4 Fe 2.69-2.76, 5 Si 2.80-2.84
Sc: 0.0125 0.2500 0.8092  4 Fe 2.69-2.76, 5 Si 2.80-2.84
Si: 0.7011 0.2500 0.1077  4 Fe 2.33-2.39
Si: 0.2011 0.2500 0.3923  4 Fe 2.33-2.39
Si: 0.7989 0.7500 0.6077  4 Fe 2.33-2.39
Si: 0.2989 0.7500 0.8923  4 Fe 2.33-2.39

Calculated values
SG: Pnma (62)
ρ in g/cm3: 4.89
Final energy in eV/atom: -7.373



Entry 4:
The following is a PBE calculation of a relaxed structure of Sc2Fe3Si5, from OQMD.

Cell lengths 7.7957, 7.7957, 5.2215 Å; angles 109.45, 109.45, 95.92 degrees
With the nearest neighbours (Å) after each atom.
Element x y z (fractional)
Fe: 0.4393 0.7346 0.0866  5 Si 2.23-2.29
Fe: 0.0003 0.9997 0.2500  6 Si 2.31-2.39
Fe: 0.2654 0.5607 0.4134  5 Si 2.23-2.29
Fe: 0.7346 0.4393 0.5866  5 Si 2.23-2.29
Fe: 0.9997 0.0003 0.7500  6 Si 2.31-2.39
Fe: 0.5607 0.2654 0.9134  5 Si 2.23-2.29
Sc: 0.8736 0.5859 0.2302  10 Si 2.81-3.14, 4 Fe 2.87-2.93
Sc: 0.4141 0.1264 0.2698  10 Si 2.81-3.14, 4 Fe 2.87-2.93
Sc: 0.5859 0.8736 0.7302  10 Si 2.81-3.14, 4 Fe 2.87-2.93
Sc: 0.1264 0.4141 0.7698  10 Si 2.81-3.14, 4 Fe 2.87-2.93
Si: 0.0907 0.2665 0.1788  3 Fe 2.23-2.32, 2 Si 2.48-2.49
Si: 0.7941 0.2059 0.2500  3 Fe 2.28-2.39, 2 Si 2.48
Si: 0.4999 0.5001 0.2500  4 Fe 2.29
Si: 0.2060 0.7940 0.2500  3 Fe 2.28-2.38, 2 Si 2.49
Si: 0.7335 0.9093 0.3212  3 Fe 2.23-2.32, 2 Si 2.48-2.49
Si: 0.2665 0.0907 0.6788  3 Fe 2.23-2.32, 2 Si 2.48-2.49
Si: 0.7940 0.2060 0.7500  3 Fe 2.28-2.38, 2 Si 2.49
Si: 0.5001 0.4999 0.7500  4 Fe 2.29
Si: 0.2059 0.7941 0.7500  3 Fe 2.28-2.39, 2 Si 2.48
Si: 0.9093 0.7335 0.8212  3 Fe 2.23-2.32, 2 Si 2.48-2.49

Calculated values
SG: C2/c (15)
ρ in g/cm3: 4.83
E above lowest polymorph in meV/atom: 21
Final energy in eV/atom: -7.143



Entry 5:
The following is a PBE calculation of a relaxed structure of ScFeSi, from OQMD.

Cell lengths 4.1045, 4.1045, 5.9693 Å; angles 90.00, 90.00, 120.00 degrees
With the nearest neighbours (Å) after each atom.
Element x y z (fractional)
Fe: 0.3333 0.6667 0.0285  3 Si 2.39
Fe: 0.6667 0.3333 0.5285  3 Si 2.39
Sc: 0.0000 0.0000 0.2443  6 Fe 2.70-2.91, 6 Si 2.75-2.86, 2 Sc 2.98
Sc: 0.0000 0.0000 0.7443  6 Fe 2.70-2.91, 6 Si 2.75-2.86, 2 Sc 2.98
Si: 0.3333 0.6667 0.4771  3 Fe 2.39
Si: 0.6667 0.3333 0.9771  3 Fe 2.39

Calculated values
SG: P6_3mc (186)
ρ in g/cm3: 4.91
Final energy in eV/atom: -7.209



Entry 6:
The following is a PBE calculation of a relaxed structure of Sc2Fe3Si5, from OQMD.

Cell lengths 10.1319, 10.1319, 5.2617 Å; angles 90.00, 90.00, 90.00 degrees
With the nearest neighbours (Å) after each atom.
Element x y z (fractional)
Fe: 0.3774 0.3566 0.0000  6 Si 2.30-2.34
Fe: 0.6434 0.3774 0.0000  6 Si 2.30-2.34
Fe: 0.3566 0.6226 0.0000  6 Si 2.30-2.34
Fe: 0.6226 0.6434 0.0000  6 Si 2.30-2.34
Fe: 0.5000 0.0000 0.2500  6 Si 2.28-2.55
Fe: 0.0000 0.5000 0.2500  6 Si 2.28-2.55
Fe: 0.1434 0.1226 0.5000  6 Si 2.30-2.34
Fe: 0.8774 0.1434 0.5000  6 Si 2.30-2.34
Fe: 0.1226 0.8566 0.5000  6 Si 2.30-2.34
Fe: 0.8566 0.8774 0.5000  6 Si 2.30-2.34
Fe: 0.5000 0.0000 0.7500  6 Si 2.28-2.55
Fe: 0.0000 0.5000 0.7500  6 Si 2.28-2.55
Sc: 0.7638 0.0681 0.0000  9 Si 2.65-2.95
Sc: 0.0681 0.2362 0.0000  9 Si 2.65-2.95
Sc: 0.9319 0.7638 0.0000  9 Si 2.65-2.95
Sc: 0.2362 0.9319 0.0000  9 Si 2.65-2.95
Sc: 0.5681 0.2638 0.5000  9 Si 2.65-2.95
Sc: 0.2638 0.4319 0.5000  9 Si 2.65-2.95
Sc: 0.7362 0.5681 0.5000  9 Si 2.65-2.95
Sc: 0.4319 0.7362 0.5000  9 Si 2.65-2.95
Si: 0.5284 0.1814 0.0000  4 Fe 2.28-2.34, 2 Si 2.47
Si: 0.1814 0.4716 0.0000  4 Fe 2.28-2.34, 2 Si 2.47
Si: 0.8186 0.5284 0.0000  4 Fe 2.28-2.34, 2 Si 2.47
Si: 0.4716 0.8186 0.0000  4 Fe 2.28-2.34, 2 Si 2.47
Si: 0.0000 0.0000 0.2457  4 Fe 2.33, 1 Si 2.59
Si: 0.3219 0.1781 0.2500  3 Fe 2.31-2.55, 2 Si 2.47
Si: 0.8219 0.3219 0.2500  3 Fe 2.31-2.55, 2 Si 2.47
Si: 0.1781 0.6781 0.2500  3 Fe 2.31-2.55, 2 Si 2.47
Si: 0.6781 0.8219 0.2500  3 Fe 2.31-2.55, 2 Si 2.47
Si: 0.5000 0.5000 0.2543  4 Fe 2.33, 1 Si 2.59
Si: 0.6814 0.0284 0.5000  4 Fe 2.28-2.34, 2 Si 2.47
Si: 0.0284 0.3186 0.5000  4 Fe 2.28-2.34, 2 Si 2.47
Si: 0.9716 0.6814 0.5000  4 Fe 2.28-2.34, 2 Si 2.47
Si: 0.3186 0.9716 0.5000  4 Fe 2.28-2.34, 2 Si 2.47
Si: 0.5000 0.5000 0.7457  4 Fe 2.33, 1 Si 2.59
Si: 0.3219 0.1781 0.7500  3 Fe 2.31-2.55, 2 Si 2.47
Si: 0.8219 0.3219 0.7500  3 Fe 2.31-2.55, 2 Si 2.47
Si: 0.1781 0.6781 0.7500  3 Fe 2.31-2.55, 2 Si 2.47
Si: 0.6781 0.8219 0.7500  3 Fe 2.31-2.55, 2 Si 2.47
Si: 0.0000 0.0000 0.7543  4 Fe 2.33, 1 Si 2.59

Calculated values
SG: P4/mnc (128)
ρ in g/cm3: 4.89
E above lowest polymorph in meV/atom: 0
Final energy in eV/atom: -7.164



Entry 7:
The following is a PBE calculation of a relaxed structure of Sc2Fe2Si, from OQMD.

Cell lengths 6.6925, 6.6925, 6.6925 Å; angles 149.17, 149.17, 44.15 degrees
With the nearest neighbours (Å) after each atom.
Element x y z (fractional)
Fe: 0.7500 0.2500 0.5000  4 Fe 2.52, 4 Sc 2.57
Fe: 0.2500 0.7500 0.5000  4 Fe 2.52, 4 Sc 2.57
Sc: 0.3997 0.3997 0.0000  1 Sc 2.49, 4 Fe 2.57
Sc: 0.6003 0.6003 0.0000  1 Sc 2.49, 4 Fe 2.57
Si: 0.0000 0.0000 0.0000  8 Sc 2.81

Calculated values
SG: I4/mmm (139)
ρ in g/cm3: 4.86
Final energy in eV/atom: -6.704



Entry 8:
The following is a PBE calculation of a relaxed structure of ScFeSi, from OQMD.

Cell lengths 4.0423, 3.8764, 11.5018 Å; angles 90.00, 90.00, 90.00 degrees
With the nearest neighbours (Å) after each atom.
Element x y z (fractional)
Fe: 0.7496 0.7500 0.0026  4 Si 2.29-2.39
Fe: 0.2496 0.7500 0.4974  4 Si 2.29-2.39
Fe: 0.7504 0.2500 0.5026  4 Si 2.29-2.39
Fe: 0.2504 0.2500 0.9974  4 Si 2.29-2.39
Sc: 0.2484 0.7500 0.1535  4 Fe 2.64-2.67, 4 Si 2.84-2.85
Sc: 0.7484 0.7500 0.3465  4 Fe 2.64-2.67, 4 Si 2.84-2.85
Sc: 0.2516 0.2500 0.6535  4 Fe 2.64-2.67, 4 Si 2.84-2.85
Sc: 0.7516 0.2500 0.8465  4 Fe 2.64-2.67, 4 Si 2.84-2.85
Si: 0.7499 0.2500 0.1086  4 Fe 2.29-2.39
Si: 0.2499 0.2500 0.3914  4 Fe 2.29-2.39
Si: 0.7501 0.7500 0.6086  4 Fe 2.29-2.39
Si: 0.2501 0.7500 0.8914  4 Fe 2.29-2.39

Calculated values
SG: Pnma (62)
ρ in g/cm3: 4.75
Final energy in eV/atom: -7.265



Entry 9:
The following is a PBE calculation of a relaxed structure of ScFe2Si2, from OQMD.

Cell lengths 7.4165, 7.0471, 4.9734 Å; angles 90.00, 90.00, 90.00 degrees
With the nearest neighbours (Å) after each atom.
Element x y z (fractional)
Fe: 0.6174 0.2500 0.0000  5 Si 2.40-2.47, 2 Fe 2.49
Fe: 0.3826 0.7500 0.0000  5 Si 2.40-2.47, 2 Fe 2.49
Fe: 0.1160 0.4886 0.2500  5 Si 2.25-2.43
Fe: 0.8840 0.9886 0.2500  5 Si 2.25-2.43
Fe: 0.6174 0.2500 0.5000  5 Si 2.40-2.47, 2 Fe 2.49
Fe: 0.3826 0.7500 0.5000  5 Si 2.40-2.47, 2 Fe 2.49
Fe: 0.1160 0.0114 0.7500  5 Si 2.25-2.43
Fe: 0.8840 0.5114 0.7500  5 Si 2.25-2.43
Sc: 0.2483 0.0941 0.2500  6 Si 2.68-2.80, 6 Fe 2.74-2.95
Sc: 0.7517 0.5941 0.2500  6 Si 2.68-2.80, 6 Fe 2.74-2.95
Sc: 0.2483 0.4059 0.7500  6 Si 2.68-2.80, 6 Fe 2.74-2.95
Sc: 0.7517 0.9059 0.7500  6 Si 2.68-2.80, 6 Fe 2.74-2.95
Si: 0.9503 0.2500 0.0000  5 Fe 2.28-2.47, 2 Si 2.49
Si: 0.0497 0.7500 0.0000  5 Fe 2.28-2.47, 2 Si 2.49
Si: 0.4171 0.4501 0.2500  5 Fe 2.25-2.47
Si: 0.5829 0.9501 0.2500  5 Fe 2.25-2.47
Si: 0.9503 0.2500 0.5000  5 Fe 2.28-2.47, 2 Si 2.49
Si: 0.0497 0.7500 0.5000  5 Fe 2.28-2.47, 2 Si 2.49
Si: 0.4171 0.0499 0.7500  5 Fe 2.25-2.47
Si: 0.5829 0.5499 0.7500  5 Fe 2.25-2.47

Calculated values
SG: Pbcm (57)
ρ in g/cm3: 5.44
Final energy in eV/atom: -7.444



Entry 10:
The following is a PBE calculation of a relaxed structure of Sc2Fe3Si, from OQMD.

Cell lengths 4.9563, 4.9563, 7.8834 Å; angles 90.00, 90.00, 120.00 degrees
With the nearest neighbours (Å) after each atom.
Element x y z (fractional)
Fe: 0.1715 0.3430 0.2500  4 Fe 2.41-2.55, 2 Si 2.46
Fe: 0.1715 0.8285 0.2500  4 Fe 2.41-2.55, 2 Si 2.46
Fe: 0.6570 0.8285 0.2500  4 Fe 2.41-2.55, 2 Si 2.46
Fe: 0.3430 0.1715 0.7500  4 Fe 2.41-2.55, 2 Si 2.46
Fe: 0.8285 0.1715 0.7500  4 Fe 2.41-2.55, 2 Si 2.46
Fe: 0.8285 0.6570 0.7500  4 Fe 2.41-2.55, 2 Si 2.46
Sc: 0.6667 0.3333 0.0633  9 Fe 2.83-2.88, 3 Si 2.90, 4 Sc 2.94-3.03
Sc: 0.6667 0.3333 0.4367  9 Fe 2.83-2.88, 3 Si 2.90, 4 Sc 2.94-3.03
Sc: 0.3333 0.6667 0.5633  9 Fe 2.83-2.88, 3 Si 2.90, 4 Sc 2.94-3.03
Sc: 0.3333 0.6667 0.9367  9 Fe 2.83-2.88, 3 Si 2.90, 4 Sc 2.94-3.03
Si: 0.0000 0.0000 0.0000  6 Fe 2.46
Si: 0.0000 0.0000 0.5000  6 Fe 2.46

Calculated values
SG: P6_3/mmc (194)
ρ in g/cm3: 5.65
Final energy in eV/atom: -7.677



Entry 11:
The following is a PBE calculation of a relaxed structure of ScFe4Si2, from OQMD.

Cell lengths 6.8554, 6.8554, 3.7511 Å; angles 90.00, 90.00, 90.00 degrees
With the nearest neighbours (Å) after each atom.
Element x y z (fractional)
Fe: 0.4092 0.1472 0.0000  3 Si 2.31-2.34, 6 Fe 2.37-2.54
Fe: 0.1472 0.4092 0.0000  3 Si 2.31-2.34, 6 Fe 2.37-2.54
Fe: 0.8528 0.5908 0.0000  3 Si 2.31-2.34, 6 Fe 2.37-2.54
Fe: 0.5908 0.8528 0.0000  3 Si 2.31-2.34, 6 Fe 2.37-2.54
Fe: 0.6472 0.0908 0.5000  3 Si 2.31-2.34, 6 Fe 2.37-2.54
Fe: 0.9092 0.3528 0.5000  3 Si 2.31-2.34, 6 Fe 2.37-2.54
Fe: 0.0908 0.6472 0.5000  3 Si 2.31-2.34, 6 Fe 2.37-2.54
Fe: 0.3528 0.9092 0.5000  3 Si 2.31-2.34, 6 Fe 2.37-2.54
Sc: 0.0000 0.0000 0.0000  6 Si 2.74-2.82, 4 Fe 2.98
Sc: 0.5000 0.5000 0.5000  6 Si 2.74-2.82, 4 Fe 2.98
Si: 0.7169 0.2831 0.0000  6 Fe 2.31-2.34
Si: 0.2831 0.7169 0.0000  6 Fe 2.31-2.34
Si: 0.2169 0.2169 0.5000  6 Fe 2.31-2.34
Si: 0.7831 0.7831 0.5000  6 Fe 2.31-2.34

Calculated values
SG: P4_2/mnm (136)
ρ in g/cm3: 6.11
Final energy in eV/atom: -7.689



Entry 12:
The following is a PBE calculation of a relaxed structure of ScFe2Si, from OQMD.

Cell lengths 4.2641, 4.2641, 4.2641 Å; angles 60.00, 60.00, 60.00 degrees
With the nearest neighbours (Å) after each atom.
Element x y z (fractional)
Fe: 0.5000 0.5000 0.5000  4 Fe 2.61, 4 Sc 2.61
Fe: 0.7500 0.7500 0.7500  4 Fe 2.61, 4 Si 2.61
Sc: 0.2500 0.2500 0.2500  4 Fe 2.61, 4 Si 2.61
Si: 0.0000 0.0000 0.0000  4 Fe 2.61, 4 Sc 2.61

Calculated values
SG: F-43m (216)
ρ in g/cm3: 5.60
Final energy in eV/atom: -7.321